No. 1
# Co2Pt | the Alexandria database | meta-GGA SCAN | single point on PBEsol structure
# calculated total energy	-35.04	eV/atom
# symmetry	P6/mmm, No. 191
# DFT formation energy	-0.33	eV/f.u.
# Fermi-level density of states	1.91	states/eV/f.u.
# total magnetic moment	4.40	μB per formula unit
data_Co2Pt
_symmetry_space_group_name_H-M 'P 1'
_symmetry_Int_Tables_number 1
_cell_length_a 2.598
_cell_length_b 4.029
_cell_length_c 4.029
_cell_angle_alpha 120.00
_cell_angle_beta 90.00
_cell_angle_gamma 90.00
loop_
_symmetry_equiv_pos_as_xyz
'x,y,z'
loop_
_atom_site_label
_atom_site_type_symbol
_atom_site_fract_x
_atom_site_fract_y
_atom_site_fract_z
Co1 Co 0.000 0.667 0.333
Co2 Co 0.000 0.333 0.667
Pt1 Pt 0.500 0.000 0.000

=====

No. 2
# Sc2GaBr | the Alexandria database | meta-GGA SCAN | single point on PBEsol structure
# raw formation energy	-0.476	eV/atom
# calculated total energy	-16.55	eV/atom
# symmetry	Fm-3m, No. 225
# Fermi-level density of states	2.00	states/eV/f.u.
# total magnetic moment	0.00	μB per formula unit
data_Sc2GaBr
_symmetry_space_group_name_H-M 'P 1'
_symmetry_Int_Tables_number 1
_cell_length_a 4.831
_cell_length_b 4.831
_cell_length_c 4.831
_cell_angle_alpha 60.00
_cell_angle_beta 60.00
_cell_angle_gamma 60.00
loop_
_symmetry_equiv_pos_as_xyz
'x,y,z'
loop_
_atom_site_label
_atom_site_type_symbol
_atom_site_fract_x
_atom_site_fract_y
_atom_site_fract_z
Sc1 Sc 0.250 0.250 0.250
Sc2 Sc 0.750 0.750 0.750
Ga1 Ga 0.000 0.000 0.000
Br1 Br 0.500 0.500 0.500

=====

No. 3
# KTl2Pb2 | the Alexandria database | meta-GGA SCAN | single point on PBEsol structure
# calculated total energy	-61.05	eV/atom
# symmetry	I4/mmm, No. 139
# DFT formation energy	-0.67	eV/f.u.
# Fermi-level density of states	2.84	states/eV/f.u.
# E above lowest polymorph	0	meV/atom
# total magnetic moment	0.00	μB per formula unit
data_KTl2Pb2
_symmetry_space_group_name_H-M 'P 1'
_symmetry_Int_Tables_number 1
_cell_length_a 4.914
_cell_length_b 4.914
_cell_length_c 7.828
_cell_angle_alpha 108.29
_cell_angle_beta 108.29
_cell_angle_gamma 90.00
loop_
_symmetry_equiv_pos_as_xyz
'x,y,z'
loop_
_atom_site_label
_atom_site_type_symbol
_atom_site_fract_x
_atom_site_fract_y
_atom_site_fract_z
Pb1 Pb 0.388 0.388 0.776
Pb2 Pb 0.612 0.612 0.224
Tl1 Tl 0.250 0.750 0.500
Tl2 Tl 0.750 0.250 0.500
K1 K 0.000 0.000 0.000

=====

No. 4
# Gd2MgCd | the Alexandria database | meta-GGA SCAN | single point on PBEsol structure
# calculated total energy	-38.51	eV/atom
# symmetry	Fm-3m, No. 225
# DFT formation energy	-1.03	eV/f.u.
# Fermi-level density of states	2.65	states/eV/f.u.
# total magnetic moment	15.85	μB per formula unit
data_Gd2MgCd
_symmetry_space_group_name_H-M 'P 1'
_symmetry_Int_Tables_number 1
_cell_length_a 5.283
_cell_length_b 5.283
_cell_length_c 5.283
_cell_angle_alpha 60.00
_cell_angle_beta 60.00
_cell_angle_gamma 60.00
loop_
_symmetry_equiv_pos_as_xyz
'x,y,z'
loop_
_atom_site_label
_atom_site_type_symbol
_atom_site_fract_x
_atom_site_fract_y
_atom_site_fract_z
Gd1 Gd 0.250 0.250 0.250
Gd2 Gd 0.750 0.750 0.750
Mg1 Mg 0.000 0.000 0.000
Cd1 Cd 0.500 0.500 0.500

=====

No. 5
# SiP2N | the Alexandria database | meta-GGA SCAN | single point on PBEsol structure
# raw formation energy	1.410	eV/atom
# calculated total energy	-8.62	eV/atom
# symmetry	Fm-3m, No. 225
# Fermi-level density of states	1.31	states/eV/f.u.
# total magnetic moment	1.02	μB per formula unit
data_SiP2N
_symmetry_space_group_name_H-M 'P 1'
_symmetry_Int_Tables_number 1
_cell_length_a 4.041
_cell_length_b 4.041
_cell_length_c 4.041
_cell_angle_alpha 60.00
_cell_angle_beta 60.00
_cell_angle_gamma 60.00
loop_
_symmetry_equiv_pos_as_xyz
'x,y,z'
loop_
_atom_site_label
_atom_site_type_symbol
_atom_site_fract_x
_atom_site_fract_y
_atom_site_fract_z
P1 P 0.250 0.250 0.250
P2 P 0.750 0.750 0.750
Si1 Si 0.500 0.500 0.500
N1 N 0.000 0.000 0.000

=====

No. 6
# MgMnZn2 | the Alexandria database | meta-GGA SCAN | single point on PBEsol structure
# calculated total energy	-12.62	eV/atom
# symmetry	P4mm, No. 99
# DFT formation energy	-0.23	eV/f.u.
# Fermi-level density of states	2.40	states/eV/f.u.
# total magnetic moment	3.51	μB per formula unit
data_MgMnZn2
_symmetry_space_group_name_H-M 'P 1'
_symmetry_Int_Tables_number 1
_cell_length_a 2.849
_cell_length_b 2.849
_cell_length_c 7.342
_cell_angle_alpha 90.00
_cell_angle_beta 90.00
_cell_angle_gamma 90.00
loop_
_symmetry_equiv_pos_as_xyz
'x,y,z'
loop_
_atom_site_label
_atom_site_type_symbol
_atom_site_fract_x
_atom_site_fract_y
_atom_site_fract_z
Mg1 Mg 0.000 0.000 0.506
Mn1 Mn 0.500 0.500 0.774
Zn1 Zn 0.000 0.000 0.993
Zn2 Zn 0.500 0.500 0.226

=====

Number 6 is which compound? MgMnZn2

=====

Look up the calculated total energy of the sixth one. -12.62 eV/atom

=====

What is the formula in the second record? Sc2GaBr

=====

total magnetic moment of number 4 (Gd2MgCd)? 15.85 μB per formula unit